# 1
# SbPC3S3N3Cl3O | Alexandria via LeMat-Bulk | GGA-PBEsol | relaxed
# ΔE_f (raw) ... -277 meV/atom
data_SbPC3S3N3Cl3O
_symmetry_space_group_name_H-M 'I -4 3 m'
_symmetry_Int_Tables_number 217
_symmetry_space_group_name_Hall 'I -4 2 3'
_cell_length_a 13.912
_cell_length_b 13.912
_cell_length_c 13.912
_cell_angle_alpha 90.00
_cell_angle_beta 90.00
_cell_angle_gamma 90.00
loop_
_atom_site_label
_atom_site_fract_x
_atom_site_fract_y
_atom_site_fract_z
Sb1 0.103 0.103 0.103
P1 0.171 0.171 0.829
C1 0.130 0.357 0.357
S1 0.021 0.371 0.371
N1 0.154 0.154 0.716
Cl1 0.098 0.098 0.275
O1 0.109 0.109 0.891


# 2
# KSr4Os | Alexandria via LeMat-Bulk | GGA-PBEsol | relaxed
# ΔH_f (0 K) ... 122.1 kJ per mole of atoms
data_KSr4Os
_symmetry_space_group_name_H-M 'F -4 3 m'
_symmetry_Int_Tables_number 216
_symmetry_space_group_name_Hall 'F -4 2 3'
_cell_length_a 9.684
_cell_length_b 9.684
_cell_length_c 9.684
_cell_angle_alpha 90.00
_cell_angle_beta 90.00
_cell_angle_gamma 90.00
loop_
_atom_site_label
_atom_site_fract_x
_atom_site_fract_y
_atom_site_fract_z
K1 0.000 0.000 0.000
Sr1 0.123 0.123 0.377
Os1 0.250 0.250 0.750


# 3
# KTaBr2 | Alexandria via LeMat-Bulk | GGA-PBEsol | relaxed
# ΔE_f (raw) ... -62 meV/atom
data_KTaBr2
_symmetry_space_group_name_H-M 'C 1 m 1'
_symmetry_Int_Tables_number 8
_symmetry_space_group_name_Hall 'C -2y'
_cell_length_a 13.352
_cell_length_b 3.284
_cell_length_c 5.899
_cell_angle_alpha 90.00
_cell_angle_beta 114.28
_cell_angle_gamma 90.00
loop_
_atom_site_label
_atom_site_fract_x
_atom_site_fract_y
_atom_site_fract_z
K1 0.000 0.000 0.000
Ta1 0.255 0.000 0.543
Br1 0.134 0.500 0.662
Br2 0.349 0.500 0.358


# 4
# LiMg2Br | Alexandria via LeMat-Bulk | GGA-PBEsol | relaxed
# ΔE_f (raw) ... -305 meV/atom
data_LiMg2Br
_symmetry_space_group_name_H-M 'P 4/m m m'
_symmetry_Int_Tables_number 123
_symmetry_space_group_name_Hall '-P 4 2'
_cell_length_a 3.326
_cell_length_b 3.326
_cell_length_c 8.222
_cell_angle_alpha 90.00
_cell_angle_beta 90.00
_cell_angle_gamma 90.00
loop_
_atom_site_label
_atom_site_fract_x
_atom_site_fract_y
_atom_site_fract_z
Li1 0.000 0.000 0.000
Mg1 0.500 0.500 0.247
Br1 0.000 0.000 0.500


# 5
# CaMn3Cl | Alexandria via LeMat-Bulk | GGA-PBEsol | relaxed
# ΔE_f (raw) ... 1909 meV/atom
data_CaMn3Cl
_symmetry_space_group_name_H-M 'P m -3 m'
_symmetry_Int_Tables_number 221
_symmetry_space_group_name_Hall '-P 4 2 3'
_cell_length_a 5.586
_cell_length_b 5.586
_cell_length_c 5.586
_cell_angle_alpha 90.00
_cell_angle_beta 90.00
_cell_angle_gamma 90.00
loop_
_atom_site_label
_atom_site_fract_x
_atom_site_fract_y
_atom_site_fract_z
Ca1 0.000 0.000 0.000
Mn1 0.000 0.000 0.500
Cl1 0.500 0.500 0.500


# 6
# PuSb | Alexandria via LeMat-Bulk | GGA-PBEsol | relaxed
# ΔE_f (raw) ... -359 meV/atom
data_PuSb
_symmetry_space_group_name_H-M 'P 4/m m m'
_symmetry_Int_Tables_number 123
_symmetry_space_group_name_Hall '-P 4 2'
_cell_length_a 3.943
_cell_length_b 3.943
_cell_length_c 3.168
_cell_angle_alpha 90.00
_cell_angle_beta 90.00
_cell_angle_gamma 90.00
loop_
_atom_site_label
_atom_site_fract_x
_atom_site_fract_y
_atom_site_fract_z
Pu1 0.000 0.000 0.000
Sb1 0.500 0.500 0.500


# 7
# TaTi2Tl | Alexandria via LeMat-Bulk | GGA-PBEsol | relaxed
# ΔH_f (0 K) ... 6.5 kJ per mole of atoms
data_TaTi2Tl
_symmetry_space_group_name_H-M 'F m -3 m'
_symmetry_Int_Tables_number 225
_symmetry_space_group_name_Hall '-F 4 2 3'
_cell_length_a 6.543
_cell_length_b 6.543
_cell_length_c 6.543
_cell_angle_alpha 90.00
_cell_angle_beta 90.00
_cell_angle_gamma 90.00
loop_
_atom_site_label
_atom_site_fract_x
_atom_site_fract_y
_atom_site_fract_z
Ta1 0.000 0.000 0.000
Ti1 0.250 0.250 0.250
Tl1 0.000 0.000 0.500


# 8
# MnAlOs2 | Alexandria via LeMat-Bulk | GGA-PBEsol | relaxed
# ΔH_f (0 K) ... 7.8 kJ per mole of atoms
data_MnAlOs2
_symmetry_space_group_name_H-M 'P 1 2/m 1'
_symmetry_Int_Tables_number 10
_symmetry_space_group_name_Hall '-P 2y'
_cell_length_a 2.700
_cell_length_b 3.999
_cell_length_c 5.134
_cell_angle_alpha 90.00
_cell_angle_beta 101.85
_cell_angle_gamma 90.00
loop_
_atom_site_label
_atom_site_fract_x
_atom_site_fract_y
_atom_site_fract_z
Mn1 0.000 0.000 0.000
Al1 0.000 0.000 0.500
Os1 0.386 0.500 0.237


# 9
# Br2Cl | Alexandria via LeMat-Bulk | GGA-PBEsol | relaxed
# ΔE_f (raw) ... 72 meV/atom
data_Br2Cl
_symmetry_space_group_name_H-M 'C m c m'
_symmetry_Int_Tables_number 63
_symmetry_space_group_name_Hall '-C 2c 2'
_cell_length_a 4.010
_cell_length_b 21.175
_cell_length_c 4.697
_cell_angle_alpha 90.00
_cell_angle_beta 90.00
_cell_angle_gamma 90.00
loop_
_atom_site_label
_atom_site_fract_x
_atom_site_fract_y
_atom_site_fract_z
Br1 0.000 0.019 0.250
Br2 0.000 0.346 0.250
Cl1 0.000 0.320 0.750


# 10
# ZrFeCuIr2 | Alexandria via LeMat-Bulk | GGA-PBEsol | relaxed
# ΔH_f (0 K) ... 86.6 kJ per mole of atoms
data_ZrFeCuIr2
_symmetry_space_group_name_H-M 'P 4/m m m'
_symmetry_Int_Tables_number 123
_symmetry_space_group_name_Hall '-P 4 2'
_cell_length_a 4.405
_cell_length_b 4.405
_cell_length_c 4.497
_cell_angle_alpha 90.00
_cell_angle_beta 90.00
_cell_angle_gamma 90.00
loop_
_atom_site_label
_atom_site_fract_x
_atom_site_fract_y
_atom_site_fract_z
Zr1 0.000 0.000 0.000
Fe1 0.000 0.000 0.500
Cu1 0.500 0.500 0.000
Ir1 0.000 0.500 0.500


# 11
# BaSc2Co | Alexandria via LeMat-Bulk | GGA-PBEsol | relaxed
# ΔH_f (0 K) ... 56.0 kJ per mole of atoms
data_BaSc2Co
_symmetry_space_group_name_H-M 'P 4/m m m'
_symmetry_Int_Tables_number 123
_symmetry_space_group_name_Hall '-P 4 2'
_cell_length_a 4.253
_cell_length_b 4.253
_cell_length_c 4.977
_cell_angle_alpha 90.00
_cell_angle_beta 90.00
_cell_angle_gamma 90.00
loop_
_atom_site_label
_atom_site_fract_x
_atom_site_fract_y
_atom_site_fract_z
Ba1 0.000 0.000 0.000
Sc1 0.000 0.500 0.500
Co1 0.500 0.500 0.000


# 12
# HgBi2S2 | Alexandria via LeMat-Bulk | GGA-PBEsol | relaxed
# ΔE_f (raw) ... 15 meV/atom
data_HgBi2S2
_symmetry_space_group_name_H-M 'P 4/m b m'
_symmetry_Int_Tables_number 127
_symmetry_space_group_name_Hall '-P 4 2ab'
_cell_length_a 8.082
_cell_length_b 8.082
_cell_length_c 3.572
_cell_angle_alpha 90.00
_cell_angle_beta 90.00
_cell_angle_gamma 90.00
loop_
_atom_site_label
_atom_site_fract_x
_atom_site_fract_y
_atom_site_fract_z
Hg1 0.000 0.000 0.000
Bi1 0.169 0.331 0.500
S1 0.138 0.638 0.000


| no. | V (Å³ per cell) |
| --- | --- |
| 1 | 2692.43 |
| 2 | 908.06 |
| 3 | 235.80 |
| 4 | 90.95 |
| 5 | 174.26 |
| 6 | 49.26 |
| 7 | 280.09 |
| 8 | 54.26 |
| 9 | 398.90 |
| 10 | 87.28 |
| 11 | 90.03 |
| 12 | 233.33 |